The following is a DFT calculation (PBEsol) of a relaxed structure of Sr3CaOs.

Lattice parameters (Å, degrees): 5.8454 5.8454 5.8454 90.00 90.00 90.00
Space group Pm-3m (No. 221)
Symmetry-distinct sites (fractional):
Sr (0.0000, 0.0000, 0.5000) [3 per cell]
Ca (0.5000, 0.5000, 0.5000) [1 per cell]
Os (0.0000, 0.0000, 0.0000) [1 per cell]

The following is a DFT calculation (PBEsol) of a relaxed structure of SrCaOs.

Lattice parameters (Å, degrees): 6.8302 6.8302 6.8302 90.00 90.00 90.00
Space group F-43m (No. 216)
Symmetry-distinct sites (fractional):
Sr (0.0000, 0.0000, 0.0000) [4 per cell]
Ca (0.2500, 0.2500, 0.7500) [4 per cell]
Os (0.2500, 0.2500, 0.2500) [4 per cell]

The following is a DFT calculation (PBEsol) of a relaxed structure of CaTa2Os2.

Lattice parameters (Å, degrees): 4.3160 4.3160 10.8309 90.00 90.00 90.00
Space group I4/mmm (No. 139)
Symmetry-distinct sites (fractional):
Ca (0.0000, 0.0000, 0.0000) [2 per cell]
Ta (0.0000, 0.5000, 0.2500) [4 per cell]
Os (0.0000, 0.0000, 0.3816) [4 per cell]

The following is a DFT calculation (PBEsol) of a relaxed structure of CaTc2Os.

Lattice parameters (Å, degrees): 3.0218 4.5286 4.5576 90.00 90.00 90.00
Space group Pmmm (No. 47)
Symmetry-distinct sites (fractional):
Ca (0.0000, 0.0000, 0.0000) [1 per cell]
Tc (0.0000, 0.5000, 0.5000) [1 per cell]
Tc (0.5000, 0.0000, 0.5000) [1 per cell]
Os (0.5000, 0.5000, 0.0000) [1 per cell]

The energy relative to the lowest polymorph listed for this composition comes out at 0.255 eV/atom.

The following is a DFT calculation (PBEsol) of a relaxed structure of CaTcOs.

Lattice parameters (Å, degrees): 2.8215 3.7350 10.7629 90.00 90.00 90.00
Space group Imm2 (No. 44)
Symmetry-distinct sites (fractional):
Ca (0.0000, 0.0000, 0.0000) [2 per cell]
Tc (0.0000, 0.0000, 0.2904) [2 per cell]
Os (0.0000, 0.0000, 0.7033) [2 per cell]

The energy relative to the lowest polymorph listed for this composition comes out at 0.000 eV/atom.

The following is a DFT calculation (PBEsol) of a relaxed structure of CaTc2Os.

Lattice parameters (Å, degrees): 10.0372 2.8401 4.8809 90.00 106.55 90.00
Space group C2/m (No. 12)
Symmetry-distinct sites (fractional):
Ca (0.0000, 0.0000, 0.0000) [2 per cell]
Tc (0.2194, 0.0000, 0.6987) [4 per cell]
Os (0.0000, 0.5000, 0.5000) [2 per cell]

The energy relative to the lowest polymorph listed for this composition comes out at 0.089 eV/atom.

The following is a DFT calculation (PBEsol) of a relaxed structure of Ca3TcOs.

Lattice parameters (Å, degrees): 5.3079 5.3079 5.3079 90.00 90.00 90.00
Space group Pm-3m (No. 221)
Symmetry-distinct sites (fractional):
Ca (0.0000, 0.0000, 0.5000) [3 per cell]
Tc (0.5000, 0.5000, 0.5000) [1 per cell]
Os (0.0000, 0.0000, 0.0000) [1 per cell]

The following is a DFT calculation (PBEsol) of a relaxed structure of CaTc2Os.

Lattice parameters (Å, degrees): 2.9557 4.5703 9.3321 90.00 90.00 90.00
Space group Cmm2 (No. 35)
Symmetry-distinct sites (fractional):
Ca (0.0000, 0.0000, 0.0000) [2 per cell]
Tc (0.0000, 0.0000, 0.4994) [2 per cell]
Tc (0.0000, 0.5000, 0.2738) [2 per cell]
Os (0.0000, 0.5000, 0.7337) [2 per cell]

The energy relative to the lowest polymorph listed for this composition comes out at 0.193 eV/atom.

The following is a DFT calculation (PBEsol) of a relaxed structure of CaTcOs.

Lattice parameters (Å, degrees): 4.3746 4.3746 3.1382 90.00 90.00 120.00
Space group P3m1 (No. 156)
Symmetry-distinct sites (fractional):
Ca (0.0000, 0.0000, 0.0000) [1 per cell]
Tc (0.6667, 0.3333, 0.4175) [1 per cell]
Os (0.3333, 0.6667, 0.5647) [1 per cell]

The energy relative to the lowest polymorph listed for this composition comes out at 0.234 eV/atom.

The following is a DFT calculation (PBEsol) of a relaxed structure of CaTc2Os.

Lattice parameters (Å, degrees): 2.7862 2.7862 8.4440 90.00 90.00 90.00
Space group P4mm (No. 99)
Symmetry-distinct sites (fractional):
Ca (0.0000, 0.0000, 0.0000) [1 per cell]
Tc (0.0000, 0.0000, 0.4813) [1 per cell]
Tc (0.5000, 0.5000, 0.7029) [1 per cell]
Os (0.5000, 0.5000, 0.2805) [1 per cell]

The energy relative to the lowest polymorph listed for this composition comes out at 0.000 eV/atom.

The following is a DFT calculation (PBEsol) of a relaxed structure of CaTcOs2.

Lattice parameters (Å, degrees): 2.7929 4.6734 10.0569 90.00 90.00 90.00
Space group Imm2 (No. 44)
Symmetry-distinct sites (fractional):
Ca (0.0000, 0.0000, 0.0000) [2 per cell]
Tc (0.0000, 0.5000, 0.2150) [2 per cell]
Os (0.0000, 0.0000, 0.4979) [2 per cell]
Os (0.0000, 0.5000, 0.7819) [2 per cell]

The following is a DFT calculation (PBEsol) of a relaxed structure of CaTc2Os.

Lattice parameters (Å, degrees): 2.7536 2.7536 8.6660 90.00 90.00 90.00
Space group P4/mmm (No. 123)
Symmetry-distinct sites (fractional):
Ca (0.0000, 0.0000, 0.0000) [1 per cell]
Tc (0.5000, 0.5000, 0.2898) [2 per cell]
Os (0.0000, 0.0000, 0.5000) [1 per cell]

The energy relative to the lowest polymorph listed for this composition comes out at 0.054 eV/atom.

no.,E_form (eV per atom),E (eV/atom),D(E_F) (states/eV/f.u.)
1,0.45,-3.528,5.41
2,1.44,-3.959,4.71
3,-0.11,-10.440,3.85
4,0.68,-8.537,3.81
5,0.43,-8.111,2.78
6,0.52,-8.703,4.50
7,1.30,-4.672,6.12
8,0.62,-8.599,4.26
9,0.66,-7.877,1.79
10,0.43,-8.792,5.13
11,0.52,-8.934,3.88
12,0.48,-8.738,5.59